(1)
CuPtI3 after structural relaxation. Source: the Alexandria database, functional PBE.

Results
The energy above the most stable polymorph in this dataset is 401.3 meV/atom. For the uncorrected formation energy, the calculation gives 2.4 eV per formula unit.

abc: 5.5019 5.5019 5.5019
angles: 90.00 90.00 90.00
Fractional coordinates of all 5 atoms:
I: 0.0000 0.5000 0.0000
I: 0.5000 0.0000 0.0000
Pt: 0.0000 0.0000 0.0000
Cu: 0.5000 0.5000 0.5000
I: 0.0000 0.0000 0.5000

---

(2)
CuPtI3 after structural relaxation. Source: the Alexandria database, functional PBE.

Results
The energy above the most stable polymorph in this dataset is 0.0 meV/atom. For the uncorrected formation energy, the calculation gives 0.4 eV per formula unit.

abc: 3.9981 7.6260 11.3814
angles: 97.26 90.00 105.20
Fractional coordinates of all 10 atoms:
I: 0.8442 0.6884 0.9180
Cu: 0.6610 0.3220 0.9075
I: 0.6609 0.3218 0.4059
I: 0.1012 0.2024 0.7561
Pt: 0.0778 0.1555 0.2907
Pt: 0.9222 0.8445 0.7093
I: 0.8988 0.7976 0.2439
I: 0.1558 0.3116 0.0820
Cu: 0.3390 0.6780 0.0925
I: 0.3391 0.6782 0.5941

---

(3)
CuPtI5 after structural relaxation. Source: the Alexandria database, functional PBE.

Results
For the uncorrected formation energy, the calculation gives -0.6 eV per formula unit.

abc: 7.2948 7.2948 10.9347
angles: 104.56 111.80 93.81
Fractional coordinates of all 14 atoms:
Cu: 0.2897 0.0397 0.7500
Cu: 0.7103 0.9603 0.2500
I: 0.6930 0.6461 0.3499
I: 0.2679 0.7842 0.5196
Pt: 0.0000 0.0000 0.0000
I: 0.7321 0.2158 0.4804
I: 0.7038 0.1569 0.8499
I: 0.2962 0.8431 0.1501
I: 0.3070 0.3539 0.6501
I: 0.0222 0.7722 0.7500
I: 0.9778 0.2278 0.2500
I: 0.7354 0.7517 0.0196
I: 0.2646 0.2483 0.9804
Pt: 0.0000 0.5000 0.5000